Density functional theory data (PBE) for a relaxed structure of Ca2SnBiPt.

Cell lengths 5.5521, 5.5521, 5.0433 Å; angles 90.00, 90.00, 90.00 degrees
Closest atoms and distances in Å follow each position.
Space group P4/mmm (No. 123)
Asymmetric unit:
1 Ca 0.0000 0.5000 0.0000 [2 per cell]  2 Pt 2.78
2 Sn 0.0000 0.0000 0.5000 [1 per cell]  2 Pt 2.52
3 Bi 0.5000 0.5000 0.5000 [1 per cell]  8 Ca 3.75, 4 Sn 3.93
4 Pt 0.0000 0.0000 0.0000 [1 per cell]  2 Sn 2.52, 4 Ca 2.78

## Properties
Raw total energy ... -4.22 eV per atom
D(E_F) ... 0.462 states/eV per atom
Formation enthalpy at 0 K ... -0.63 eV per atom

=====

Density functional theory data (PBE) for a relaxed structure of SrCa2BiPt.

Cell lengths 5.5069, 5.5069, 5.7699 Å; angles 90.00, 90.00, 90.00 degrees
Closest atoms and distances in Å follow each position.
Space group P4/mmm (No. 123)
Asymmetric unit:
1 Sr 0.0000 0.0000 0.0000 [1 per cell]  2 Pt 2.88
2 Ca 0.0000 0.5000 0.5000 [2 per cell]  2 Pt 2.75
3 Bi 0.5000 0.5000 0.0000 [1 per cell]  4 Sr 3.89, 8 Ca 3.99
4 Pt 0.0000 0.0000 0.5000 [1 per cell]  4 Ca 2.75, 2 Sr 2.88

## Properties
Raw total energy ... -3.80 eV per atom
D(E_F) ... 0.626 states/eV per atom
Formation enthalpy at 0 K ... -0.68 eV per atom

=====

Density functional theory data (PBE) for a relaxed structure of SrCaBiPt.

Cell lengths 7.6304, 7.6304, 7.6304 Å; angles 90.00, 90.00, 90.00 degrees
Closest atoms and distances in Å follow each position.
Space group F-43m (No. 216)
Asymmetric unit:
1 Sr 0.0000 0.0000 0.0000 [4 per cell]  4 Pt 3.30, 4 Bi 3.30
2 Ca 0.0000 0.0000 0.5000 [4 per cell]  4 Bi 3.30, 4 Pt 3.30
3 Bi 0.2500 0.2500 0.2500 [4 per cell]  4 Ca 3.30, 4 Sr 3.30
4 Pt 0.2500 0.2500 0.7500 [4 per cell]  4 Ca 3.30, 4 Sr 3.30

## Properties
Raw total energy ... -4.09 eV per atom
D(E_F) ... 0.620 states/eV per atom
Formation enthalpy at 0 K ... -0.69 eV per atom

=====

Density functional theory data (PBE) for a relaxed structure of CaTcBi2Pt.

Cell lengths 5.2648, 5.2648, 5.0606 Å; angles 90.00, 90.00, 90.00 degrees
Closest atoms and distances in Å follow each position.
Space group P4/mmm (No. 123)
Asymmetric unit:
1 Ca 0.0000 0.0000 0.0000 [1 per cell]  8 Bi 3.65, 4 Pt 3.72
2 Tc 0.5000 0.5000 0.5000 [1 per cell]  2 Pt 2.53, 4 Bi 2.63
3 Bi 0.0000 0.5000 0.5000 [2 per cell]  2 Tc 2.63
4 Pt 0.5000 0.5000 0.0000 [1 per cell]  2 Tc 2.53

## Properties
Raw total energy ... -4.99 eV per atom
D(E_F) ... 0.628 states/eV per atom
Formation enthalpy at 0 K ... 0.24 eV per atom